# 1
Tm8Rh2Au | GGA-PBE | optimized geometry

Computed properties:
Mass density = 10.17 g cm⁻³
Fermi-level density of states = 11.91 states/eV/f.u.
DFT formation energy = -0.456 eV per atom

Lattice parameters (Å, degrees): 7.623 7.623 5.605 99.14 99.14 113.31
Sites, in units of the cell vectors:
Tm (0.000, 0.000, 0.000)
Tm (0.040, 0.299, 0.592)
Tm (0.145, 0.605, 0.187)
Tm (0.299, 0.040, 0.592)
Tm (0.452, 0.711, 0.775)
Tm (0.605, 0.145, 0.187)
Tm (0.711, 0.452, 0.775)
Tm (0.745, 0.745, 0.371)
Rh (0.068, 0.682, 0.686)
Rh (0.682, 0.068, 0.686)
Au (0.372, 0.372, 0.298)


# 2
YV2CdSe | GGA-PBE | optimized geometry

Computed properties:
Mass density = 4.60 g cm⁻³
Energy relative to the elements, uncorrected = 8.6 eV per formula unit
Fermi-level density of states = 6.42 states/eV/f.u.

Lattice parameters (Å, degrees): 4.999 4.999 5.518 90.00 90.00 90.00
Sites, in units of the cell vectors:
Y (0.000, 0.000, 0.000)
V (0.000, 0.500, 0.000)
V (0.500, 0.000, 0.000)
Cd (0.000, 0.000, 0.500)
Se (0.500, 0.500, 0.500)


# 3
Ca2MnRh | GGA-PBE | optimized geometry

Computed properties:
Mass density = 4.52 g cm⁻³
Fermi-level density of states = 2.64 states/eV/f.u.
DFT formation energy = 0.119 eV per atom

Lattice parameters (Å, degrees): 4.691 4.691 3.976 90.00 90.00 90.00
Sites, in units of the cell vectors:
Ca (0.000, 0.500, 0.000)
Ca (0.500, 0.000, 0.000)
Mn (0.000, 0.000, 0.500)
Rh (0.500, 0.500, 0.500)


# 4
TaBiSI2 | GGA-PBE | optimized geometry

Computed properties:
Mass density = 5.66 g cm⁻³
Energy relative to the elements, uncorrected = 6.8 eV per formula unit
Fermi-level density of states = 7.41 states/eV/f.u.

Lattice parameters (Å, degrees): 6.209 6.209 5.145 90.00 90.00 90.00
Sites, in units of the cell vectors:
Ta (0.000, 0.000, 0.000)
Bi (0.500, 0.500, 0.500)
S (0.500, 0.500, 0.000)
I (0.000, 0.500, 0.500)
I (0.500, 0.000, 0.500)